1.
Entry from the Alexandria database: crystalline Rb2BaHfI6 at its relaxed geometry (PBE). Values from VASP.

Calculated values
N(E_F) = 6.7 states/eV/cell
formation energy from raw total energies = -1.12 eV/atom
raw total energy = -3.432 eV/atom

The structure in Quantum ESPRESSO input format:
```
&SYSTEM
  ibrav = 0, nat = 10, ntyp = 4
/
ATOMIC_SPECIES
Rb 85.47 Rb.upf
Ba 137.33 Ba.upf
Hf 178.49 Hf.upf
I 126.90 I.upf
CELL_PARAMETERS angstrom
0.000 6.271 6.271
6.271 0.000 6.271
6.271 6.271 0.000
ATOMIC_POSITIONS crystal
Rb 0.250 0.250 0.250
Rb 0.750 0.750 0.750
Ba 0.000 0.000 0.000
Hf 0.500 0.500 0.500
I 0.268 0.268 0.732
I 0.268 0.732 0.268
I 0.268 0.732 0.732
I 0.732 0.268 0.268
I 0.732 0.268 0.732
I 0.732 0.732 0.268
```

2.
Entry from the Alexandria database: crystalline Na3Sr12F5 at its relaxed geometry (PBE). Values from VASP.

Calculated values
N(E_F) = 77.3 states/eV/cell
formation energy from raw total energies = -1.28 eV/atom
raw total energy = -2.956 eV/atom

The structure in Quantum ESPRESSO input format:
```
&SYSTEM
  ibrav = 0, nat = 80, ntyp = 3
/
ATOMIC_SPECIES
Na 22.99 Na.upf
Sr 87.62 Sr.upf
F 19.00 F.upf
CELL_PARAMETERS angstrom
-9.053 9.053 9.053
9.053 -9.053 9.053
9.053 9.053 -9.053
ATOMIC_POSITIONS crystal
Na 0.125 0.250 0.375
Na 0.125 0.375 0.750
Na 0.250 0.375 0.125
Na 0.250 0.875 0.625
Na 0.375 0.125 0.250
Na 0.375 0.750 0.125
Na 0.625 0.250 0.875
Na 0.625 0.875 0.750
Na 0.750 0.125 0.375
Na 0.750 0.625 0.875
Na 0.875 0.625 0.250
Na 0.875 0.750 0.625
Sr 0.006 0.198 0.107
Sr 0.006 0.307 0.898
Sr 0.091 0.698 0.693
Sr 0.091 0.893 0.398
Sr 0.102 0.607 0.409
Sr 0.102 0.994 0.693
Sr 0.107 0.006 0.198
Sr 0.107 0.602 0.909
Sr 0.193 0.198 0.591
Sr 0.193 0.494 0.602
Sr 0.198 0.107 0.006
Sr 0.198 0.591 0.193
Sr 0.302 0.307 0.909
Sr 0.302 0.494 0.393
Sr 0.307 0.898 0.006
Sr 0.307 0.909 0.302
Sr 0.393 0.302 0.494
Sr 0.393 0.591 0.898
Sr 0.398 0.091 0.893
Sr 0.398 0.807 0.506
Sr 0.409 0.102 0.607
Sr 0.409 0.807 0.802
Sr 0.494 0.393 0.302
Sr 0.494 0.602 0.193
Sr 0.506 0.398 0.807
Sr 0.506 0.607 0.698
Sr 0.591 0.193 0.198
Sr 0.591 0.898 0.393
Sr 0.602 0.193 0.494
Sr 0.602 0.909 0.107
Sr 0.607 0.409 0.102
Sr 0.607 0.698 0.506
Sr 0.693 0.091 0.698
Sr 0.693 0.102 0.994
Sr 0.698 0.506 0.607
Sr 0.698 0.693 0.091
Sr 0.802 0.409 0.807
Sr 0.802 0.893 0.994
Sr 0.807 0.506 0.398
Sr 0.807 0.802 0.409
Sr 0.893 0.398 0.091
Sr 0.893 0.994 0.802
Sr 0.898 0.006 0.307
Sr 0.898 0.393 0.591
Sr 0.909 0.107 0.602
Sr 0.909 0.302 0.307
Sr 0.994 0.693 0.102
Sr 0.994 0.802 0.893
F 0.000 0.000 0.000
F 0.000 0.000 0.500
F 0.000 0.500 0.000
F 0.000 0.500 0.500
F 0.125 0.750 0.875
F 0.125 0.875 0.250
F 0.250 0.125 0.875
F 0.250 0.625 0.375
F 0.375 0.250 0.625
F 0.375 0.625 0.750
F 0.500 0.000 0.000
F 0.500 0.000 0.500
F 0.500 0.500 0.000
F 0.500 0.500 0.500
F 0.625 0.375 0.250
F 0.625 0.750 0.375
F 0.750 0.375 0.625
F 0.750 0.875 0.125
F 0.875 0.125 0.750
F 0.875 0.250 0.125
```

3.
Entry from the Alexandria database: crystalline AlCuReW at its relaxed geometry (PBE). Values from VASP.

Calculated values
N(E_F) = 15.9 states/eV/cell
raw total energy = -8.293 eV/atom
formation energy from the elements = 0.017 eV per atom

The structure in Quantum ESPRESSO input format:
```
&SYSTEM
  ibrav = 0, nat = 16, ntyp = 4
/
ATOMIC_SPECIES
Al 26.98 Al.upf
Cu 63.55 Cu.upf
Re 186.21 Re.upf
W 183.84 W.upf
CELL_PARAMETERS angstrom
6.147 0.000 0.000
0.000 6.147 0.000
0.000 0.000 6.147
ATOMIC_POSITIONS crystal
Al 0.000 0.000 0.000
Al 0.000 0.500 0.500
Al 0.500 0.000 0.500
Al 0.500 0.500 0.000
Cu 0.250 0.250 0.250
Cu 0.250 0.750 0.750
Cu 0.750 0.250 0.750
Cu 0.750 0.750 0.250
Re 0.250 0.250 0.750
Re 0.250 0.750 0.250
Re 0.750 0.250 0.250
Re 0.750 0.750 0.750
W 0.000 0.000 0.500
W 0.000 0.500 0.000
W 0.500 0.000 0.000
W 0.500 0.500 0.500
```

4.
Entry from the Alexandria database: crystalline Tb2Y3Si2 at its relaxed geometry (PBE). Values from VASP.

Calculated values
N(E_F) = 14.5 states/eV/cell
formation energy from raw total energies = -0.48 eV/atom
raw total energy = -6.119 eV/atom

The structure in Quantum ESPRESSO input format:
```
&SYSTEM
  ibrav = 0, nat = 14, ntyp = 3
/
ATOMIC_SPECIES
Tb 158.93 Tb.upf
Y 88.91 Y.upf
Si 28.09 Si.upf
CELL_PARAMETERS angstrom
11.728 0.000 0.000
0.000 4.156 0.000
-2.995 0.000 7.733
ATOMIC_POSITIONS crystal
Tb 0.153 0.000 0.306
Tb 0.347 0.500 0.694
Tb 0.653 0.500 0.306
Tb 0.847 0.000 0.694
Y 0.000 0.500 0.500
Y 0.128 0.500 0.938
Y 0.372 0.000 0.062
Y 0.500 0.000 0.500
Y 0.628 0.000 0.938
Y 0.872 0.500 0.062
Si 0.170 0.000 0.703
Si 0.330 0.500 0.297
Si 0.670 0.500 0.703
Si 0.830 0.000 0.297
```

5.
Entry from the Alexandria database: crystalline SmErPtI at its relaxed geometry (PBE). Values from VASP.

Calculated values
N(E_F) = 8.9 states/eV/cell
formation energy from raw total energies = -1.11 eV/atom
raw total energy = -5.327 eV/atom

The structure in Quantum ESPRESSO input format:
```
&SYSTEM
  ibrav = 0, nat = 12, ntyp = 4
/
ATOMIC_SPECIES
Sm 150.36 Sm.upf
Er 167.26 Er.upf
Pt 195.08 Pt.upf
I 126.90 I.upf
CELL_PARAMETERS angstrom
4.174 0.000 0.000
-2.087 3.615 0.000
0.000 0.000 23.930
ATOMIC_POSITIONS crystal
Sm 0.000 0.000 0.000
Sm 0.333 0.667 0.667
Sm 0.667 0.333 0.333
Er 0.000 0.000 0.788
Er 0.333 0.667 0.455
Er 0.667 0.333 0.122
Pt 0.000 0.000 0.397
Pt 0.333 0.667 0.064
Pt 0.667 0.333 0.731
I 0.000 0.000 0.225
I 0.333 0.667 0.891
I 0.667 0.333 0.558
```

6.
Entry from the Alexandria database: crystalline LiFe2Se at its relaxed geometry (PBE). Values from VASP.

Calculated values
N(E_F) = 2.8 states/eV/cell
formation energy from raw total energies = -0.02 eV/atom
raw total energy = -5.603 eV/atom

The structure in Quantum ESPRESSO input format:
```
&SYSTEM
  ibrav = 0, nat = 4, ntyp = 3
/
ATOMIC_SPECIES
Li 6.94 Li.upf
Fe 55.84 Fe.upf
Se 78.96 Se.upf
CELL_PARAMETERS angstrom
3.244 0.000 0.000
0.000 3.244 0.000
0.000 0.000 5.276
ATOMIC_POSITIONS crystal
Li 0.000 0.000 0.000
Fe 0.000 0.000 0.512
Fe 0.500 0.500 0.716
Se 0.500 0.500 0.233
```

7.
Entry from the Alexandria database: crystalline Rb2Tb2NpSe6 at its relaxed geometry (PBE). Values from VASP.

Calculated values
N(E_F) = 4.6 states/eV/cell
formation energy from raw total energies = -1.57 eV/atom
raw total energy = -5.665 eV/atom

The structure in Quantum ESPRESSO input format:
```
&SYSTEM
  ibrav = 0, nat = 11, ntyp = 4
/
ATOMIC_SPECIES
Rb 85.47 Rb.upf
Tb 158.93 Tb.upf
Np 237.00 Np.upf
Se 78.96 Se.upf
CELL_PARAMETERS angstrom
3.635 -6.286 0.000
3.635 6.286 0.000
-2.466 0.000 8.193
ATOMIC_POSITIONS crystal
Rb 0.169 0.831 0.000
Rb 0.831 0.169 0.000
Tb 0.333 0.667 0.500
Tb 0.667 0.333 0.500
Np 0.000 0.000 0.500
Se 0.065 0.393 0.692
Se 0.262 0.262 0.309
Se 0.393 0.065 0.692
Se 0.607 0.935 0.308
Se 0.738 0.738 0.691
Se 0.935 0.607 0.308
```

8.
Entry from the Alexandria database: crystalline Pu4Ga5Si2 at its relaxed geometry (PBE). Values from VASP.

Calculated values
N(E_F) = 22.1 states/eV/cell
formation energy from raw total energies = -0.25 eV/atom
raw total energy = -7.823 eV/atom

The structure in Quantum ESPRESSO input format:
```
&SYSTEM
  ibrav = 0, nat = 11, ntyp = 3
/
ATOMIC_SPECIES
Pu 244.00 Pu.upf
Ga 69.72 Ga.upf
Si 28.09 Si.upf
CELL_PARAMETERS angstrom
7.729 0.000 0.000
0.000 2.933 0.000
-1.335 0.000 9.699
ATOMIC_POSITIONS crystal
Pu 0.042 0.000 0.307
Pu 0.338 0.000 0.082
Pu 0.662 0.000 0.918
Pu 0.958 0.000 0.693
Ga 0.000 0.500 0.000
Ga 0.309 0.500 0.810
Ga 0.424 0.500 0.363
Ga 0.576 0.500 0.637
Ga 0.691 0.500 0.190
Si 0.222 0.500 0.551
Si 0.778 0.500 0.449
```

9.
Entry from the Alexandria database: crystalline TmBeSi at its relaxed geometry (PBE). Values from VASP.

Calculated values
N(E_F) = 1.2 states/eV/cell
formation energy from raw total energies = -0.65 eV/atom
raw total energy = -5.188 eV/atom

The structure in Quantum ESPRESSO input format:
```
&SYSTEM
  ibrav = 0, nat = 3, ntyp = 3
/
ATOMIC_SPECIES
Tm 168.93 Tm.upf
Be 9.01 Be.upf
Si 28.09 Si.upf
CELL_PARAMETERS angstrom
3.838 0.000 0.000
-1.919 3.323 0.000
0.000 0.000 3.956
ATOMIC_POSITIONS crystal
Tm 0.000 0.000 0.000
Be 0.333 0.667 0.500
Si 0.667 0.333 0.500
```

10.
Entry from the Alexandria database: crystalline Rb2TaNbI6 at its relaxed geometry (PBE). Values from VASP.

Calculated values
N(E_F) = 12.0 states/eV/cell
formation energy from raw total energies = -0.41 eV/atom
raw total energy = -3.728 eV/atom

The structure in Quantum ESPRESSO input format:
```
&SYSTEM
  ibrav = 0, nat = 10, ntyp = 4
/
ATOMIC_SPECIES
Rb 85.47 Rb.upf
Ta 180.95 Ta.upf
Nb 92.91 Nb.upf
I 126.90 I.upf
CELL_PARAMETERS angstrom
0.000 5.856 5.856
5.856 0.000 5.856
5.856 5.856 0.000
ATOMIC_POSITIONS crystal
Rb 0.250 0.250 0.250
Rb 0.750 0.750 0.750
Ta 0.000 0.000 0.000
Nb 0.500 0.500 0.500
I 0.248 0.248 0.752
I 0.248 0.752 0.248
I 0.248 0.752 0.752
I 0.752 0.248 0.248
I 0.752 0.248 0.752
I 0.752 0.752 0.248
```